1.
Compound: AlPRu2
Source: Alexandria
Functional: PBE
Structure: optimized geometry

Computed properties:
crystal system = monoclinic
relative energy among the computed polymorphs = 229 meV/atom
electronic total energy = -7.2697 eV per atom
space-group type = Pm (6)
E_form = -0.34 eV/atom

abc: 4.281 2.889 4.714
angles: 72.31 90.00 90.00
Fractional positions:
P (0.500, 0.923, 0.780)
Ru (0.000, 0.827, 0.970)
Ru (0.500, 0.190, 0.248)
Al (0.000, 0.559, 0.502)

---

2.
Compound: AlP2Ru
Source: Alexandria
Functional: PBE
Structure: optimized geometry

Computed properties:
crystal system = monoclinic
electronic total energy = -5.9549 eV per atom
space-group type = C2/m (12)
E_form = 0.00 eV/atom

abc: 4.303 4.303 3.091
angles: 89.84 89.84 105.44
Fractional positions:
Ru (0.500, 0.000, 0.500)
Al (0.000, 0.500, 0.500)
P (0.000, 0.000, 0.000)
P (0.500, 0.500, 0.000)